No. 1
This record from Alexandria describes DyHg at its PBEsol-relaxed geometry. The functional is meta-GGA SCAN.

Unit cell a=3.651 b=3.651 c=3.651 alpha=90.00 beta=90.00 gamma=90.00
Sites, in units of the cell vectors:
Dy 0.000 0.000 0.000
Hg 0.500 0.500 0.500

Computed properties:
The value obtained for the total magnetization is 0.00 μB/cell. As for the space group: Pm-3m. Its formation enthalpy at 0 K is -0.71 eV per atom.



No. 2
This record from Alexandria describes CaYCd at its PBEsol-relaxed geometry. The functional is meta-GGA SCAN.

Unit cell a=3.672 b=3.672 c=13.042 alpha=90.00 beta=90.00 gamma=90.00
Sites, in units of the cell vectors:
Ca 0.000 0.000 0.000
Ca 0.500 0.500 0.500
Y 0.000 0.000 0.714
Y 0.500 0.500 0.214
Cd 0.000 0.000 0.348
Cd 0.500 0.500 0.848

Computed properties:
The value obtained for the total magnetization is 0.16 μB/cell. As for the space group: I4mm. Its formation enthalpy at 0 K is -0.26 eV per atom.